1.
# NaInH2Pd4

Crystalline NaInH2Pd4 at its relaxed geometry (PBE, Alexandria via LeMat-Bulk).

Properties
The total energy is -33.15 eV/cell. The space-group type is P4/mmm, No. 123.

abc: 3.8649 3.8649 8.7521
angles: 90.00 90.00 90.00
Closest atoms and distances in Å follow each position.
Sites, in units of the cell vectors:
Na (0.0000, 0.0000, 0.5000)  8 Pd 3.07
In (0.0000, 0.0000, 0.0000)  8 Pd 2.77
H (0.5000, 0.5000, 0.2486)  4 Pd 1.94
H (0.5000, 0.5000, 0.7514)  4 Pd 1.94
Pd (0.0000, 0.5000, 0.2271)  2 H 1.94
Pd (0.5000, 0.0000, 0.7729)  2 H 1.94
Pd (0.5000, 0.0000, 0.2271)  2 H 1.94
Pd (0.0000, 0.5000, 0.7729)  2 H 1.94

2.
# Rb2NaIn2H6

Crystalline Rb2NaIn2H6 at its relaxed geometry (PBE, Alexandria via LeMat-Bulk).

Properties
The total energy is -29.06 eV/cell. The space-group type is C2/m, No. 12.

abc: 6.0925 6.2207 8.6915
angles: 119.94 90.00 119.32
Closest atoms and distances in Å follow each position.
Sites, in units of the cell vectors:
Rb (0.7366, 0.4731, 0.2871)  7 H 2.94-3.20
Rb (0.2634, 0.5269, 0.7129)  7 H 2.94-3.20
Na (0.5000, 0.0000, 0.5000)  6 H 2.31-2.46
In (0.9854, 0.9709, 0.8197)  3 H 1.89
In (0.0146, 0.0291, 0.1803)  3 H 1.89
H (0.7733, 0.5466, 0.6499)  1 In 1.89
H (0.2248, 0.9850, 0.3066)  1 In 1.89
H (0.2398, 0.0150, 0.6934)  1 In 1.89
H (0.7752, 0.0150, 0.6934)  1 In 1.89
H (0.7602, 0.9850, 0.3066)  1 In 1.89
H (0.2267, 0.4534, 0.3501)  1 In 1.89

> Number 2 is which compound?

Rb2NaIn2H6